# 1
Crystalline NaNb14O36 at its relaxed geometry, computed with GGA-PBE.

Cell: 15.3424 15.3424 15.3424 Å, 165.44 123.33 58.84°
Last column: nearest neighbours and their distance in Å.
Atoms (fractional coordinates):
Na1 0.0000 0.0000 0.0000  4 O 2.59
Nb1 0.0161 0.3966 0.6195  4 O 1.81-2.02
Nb2 0.1005 0.2934 0.8071  4 O 1.84-2.02
Nb3 0.1903 0.1903 0.0000  2 O 1.82
Nb4 0.2229 0.6034 0.6195  4 O 1.81-2.02
Nb5 0.3152 0.5000 0.8152  4 O 1.91-1.96
Nb6 0.3952 0.3952 0.0000  6 O 1.95-2.07
Nb7 0.4863 0.2934 0.1929  4 O 1.84-2.02
Nb8 0.5137 0.7066 0.8071  4 O 1.84-2.02
Nb9 0.6048 0.6048 0.0000  6 O 1.95-2.07
Nb10 0.6848 0.5000 0.1848  4 O 1.91-1.96
Nb11 0.7771 0.3966 0.3805  4 O 1.81-2.02
Nb12 0.8097 0.8097 0.0000  2 O 1.82
Nb13 0.8995 0.7066 0.1929  4 O 1.84-2.02
Nb14 0.9839 0.6034 0.3805  4 O 1.81-2.02
O1 0.0225 0.1195 0.9030  2 Nb 2.02
O2 0.0465 0.3392 0.7073  2 Nb 1.90-2.00
O3 0.0639 0.5639 0.5000  2 Nb 2.03
O4 0.0659 0.7750 0.2910  2 Nb 2.02
O5 0.1372 0.2335 0.9037  1 Nb 1.82
O6 0.1476 0.4485 0.6991  1 Nb 1.81
O7 0.1667 0.6667 0.5000  2 Nb 2.04
O8 0.2165 0.1195 0.0970  2 Nb 2.02
O9 0.2407 0.3392 0.9015  1 Nb 1.84
O10 0.2506 0.5515 0.6991  1 Nb 1.81
O11 0.2978 0.0000 0.2978  2 Nb 1.96
O12 0.3299 0.2335 0.0963  1 Nb 1.82
O13 0.3468 0.4459 0.9009  2 Nb 1.91-1.98
O14 0.3681 0.6608 0.7073  2 Nb 1.90-2.00
O15 0.3911 0.8911 0.5000  2 Nb 1.95
O16 0.4377 0.3392 0.0985  1 Nb 1.84
O17 0.4550 0.5541 0.9009  2 Nb 1.91-1.98
O18 0.4840 0.7750 0.7090  2 Nb 2.02
O19 0.5160 0.2250 0.2910  2 Nb 2.02
O20 0.5450 0.4459 0.0991  2 Nb 1.91-1.98
O21 0.5623 0.6608 0.9015  1 Nb 1.84
O22 0.6089 0.1089 0.5000  2 Nb 1.95
O23 0.6319 0.3392 0.2927  2 Nb 1.90-2.00
O24 0.6532 0.5541 0.0991  2 Nb 1.91-1.98
O25 0.6701 0.7665 0.9037  1 Nb 1.82
O26 0.7022 0.0000 0.7022  2 Nb 1.96
O27 0.7494 0.4485 0.3009  1 Nb 1.81
O28 0.7593 0.6608 0.0985  1 Nb 1.84
O29 0.7835 0.8805 0.9030  2 Nb 2.02
O30 0.8333 0.3333 0.5000  2 Nb 2.04
O31 0.8524 0.5515 0.3009  1 Nb 1.81
O32 0.8628 0.7665 0.0963  1 Nb 1.82
O33 0.9341 0.2250 0.7090  2 Nb 2.02
O34 0.9361 0.4361 0.5000  2 Nb 2.03
O35 0.9535 0.6608 0.2927  2 Nb 1.90-2.00
O36 0.9775 0.8805 0.0970  2 Nb 2.02

Output
**Calculated volume**: 14.84 A^3/atom
**Total magnetization**: 0.83 μB/cell
**Raw formation energy**: -2.49 eV/atom
**SG**: Immm (71)

=====

# 2
Crystalline Na8NbO6 at its relaxed geometry, computed with GGA-PBE.

Cell: 6.9353 7.2481 9.7978 Å, 90.00 90.00 90.00°
Last column: nearest neighbours and their distance in Å.
Atoms (fractional coordinates):
Na1 0.0000 0.1675 0.0000  1 O 2.30
Na2 0.0000 0.1864 0.4494  3 O 2.20-2.46
Na3 0.1919 0.6770 0.0911  3 O 2.34-2.48
Na4 0.2099 0.5911 0.7813  3 O 2.41-2.42, 1 Na 2.69
Na5 0.2194 0.9609 0.7555  4 O 2.40-2.50
Na6 0.2806 0.0391 0.2555  4 O 2.40-2.50
Na7 0.2901 0.4089 0.2813  3 O 2.41-2.42, 1 Na 2.69
Na8 0.3081 0.3230 0.5911  3 O 2.34-2.48
Na9 0.5000 0.8136 0.9494  3 O 2.20-2.46
Na10 0.5000 0.8325 0.5000  1 O 2.30
Na11 0.6919 0.3230 0.5911  3 O 2.34-2.48
Na12 0.7099 0.4089 0.2813  3 O 2.41-2.42, 1 Na 2.69
Na13 0.7194 0.0391 0.2555  4 O 2.40-2.50
Na14 0.7806 0.9609 0.7555  4 O 2.40-2.50
Na15 0.7901 0.5911 0.7813  3 O 2.41-2.42, 1 Na 2.69
Na16 0.8081 0.6770 0.0911  3 O 2.34-2.48
Nb1 0.0000 0.7114 0.4517  4 O 1.88-1.92
Nb2 0.5000 0.2886 0.9517  4 O 1.88-1.92
O1 0.0000 0.2385 0.2286  6 Na 2.20-2.44
O2 0.0000 0.4903 0.5602  1 Nb 1.92
O3 0.0000 0.7883 0.9129  6 Na 2.34-2.50
O4 0.0000 0.9176 0.5687  1 Nb 1.88
O5 0.2194 0.7249 0.3376  1 Nb 1.89
O6 0.2806 0.2751 0.8376  1 Nb 1.89
O7 0.5000 0.0824 0.0687  1 Nb 1.88
O8 0.5000 0.2117 0.4129  6 Na 2.34-2.50
O9 0.5000 0.5097 0.0602  1 Nb 1.92
O10 0.5000 0.7615 0.7286  6 Na 2.20-2.44
O11 0.7194 0.2751 0.8376  1 Nb 1.89
O12 0.7806 0.7249 0.3376  1 Nb 1.89

Output
**Distance to the lowest polymorph of the same formula**: 86 meV per atom
**Calculated volume**: 16.42 A^3/atom
**Total magnetization**: 0.00 μB/cell
**Raw formation energy**: -1.49 eV/atom
**SG**: Pmn2_1 (31)

=====

# 3
Crystalline NaNb3O at its relaxed geometry, computed with GGA-PBE.

Cell: 4.6556 4.6556 4.6556 Å, 90.00 90.00 90.00°
Last column: nearest neighbours and their distance in Å.
Atoms (fractional coordinates):
Na1 0.0000 0.0000 0.0000  6 Nb 2.33
Nb1 0.0000 0.0000 0.5000  2 Na 2.33
Nb2 0.0000 0.5000 0.0000  2 Na 2.33
Nb3 0.5000 0.0000 0.0000  2 Na 2.33
O1 0.5000 0.5000 0.5000  12 Nb 3.29

Output
**Distance to the lowest polymorph of the same formula**: 2706 meV per atom
**Calculated volume**: 20.18 A^3/atom
**Total magnetization**: 0.00 μB/cell
**Raw formation energy**: 2.56 eV/atom
**SG**: Pm-3m (221)

=====

# 4
Crystalline NaNb3O at its relaxed geometry, computed with GGA-PBE.

Cell: 4.3438 4.3438 4.3438 Å, 90.00 90.00 90.00°
Last column: nearest neighbours and their distance in Å.
Atoms (fractional coordinates):
Na1 0.0000 0.0000 0.0000  12 Nb 3.07
Nb1 0.0000 0.5000 0.5000  2 O 2.17
Nb2 0.5000 0.0000 0.5000  2 O 2.17
Nb3 0.5000 0.5000 0.0000  2 O 2.17
O1 0.5000 0.5000 0.5000  6 Nb 2.17

Output
**Distance to the lowest polymorph of the same formula**: 0 meV per atom
**Calculated volume**: 16.39 A^3/atom
**Total magnetization**: 0.00 μB/cell
**Raw formation energy**: -0.15 eV/atom
**SG**: Pm-3m (221)

=====

Question: The highest calculated volume belongs to which entry?
Answer: number 3